The following is a GGA-PBE calculation of GdTaMo after structural relaxation, from OQMD.

Computed properties:
For the magnetization, the calculation gives 0.27 μB/cell. Its total energy is -7.370 eV/atom. The calculation puts the formation energy at 1.75 eV/atom.

Unit cell a=4.605 b=4.605 c=4.605 alpha=60.00 beta=60.00 gamma=60.00
Fractional coordinates of all 3 atoms:
Gd 0.000 0.000 0.000
Ta 0.250 0.250 0.250
Mo 0.750 0.750 0.750